Entry 1:
# GGA-PBE SbAu, relaxed
# calculated volume	37.20	Å³/atom
# DOS(E_F)	0.378	states/eV per atom
# formation energy from raw total energies	157.8	meV/atom
data_SbAu
_cell_length_a 7.643
_cell_length_b 7.643
_cell_length_c 7.643
_cell_angle_alpha 90.00
_cell_angle_beta 90.00
_cell_angle_gamma 90.00
_space_group_name_H-M_alt 'P m -3 n'
_space_group_IT_number 223
_space_group_name_Hall '-P 4n 2 3'
loop_
_atom_site_label
_atom_site_type_symbol
_atom_site_fract_x
_atom_site_fract_y
_atom_site_fract_z
Sb1 Sb 0.000 0.250 0.500
Au1 Au 0.000 0.500 0.250

=====

Entry 2:
# GGA-PBE LiVRh2, relaxed
# calculated volume	13.02	Å³/atom
# DOS(E_F)	0.725	states/eV per atom
# calculated formation energy	-1.5	eV per formula unit
# excess energy over the best structure of this formula in the dataset	36	meV per atom
data_LiVRh2
_cell_length_a 2.986
_cell_length_b 2.986
_cell_length_c 5.844
_cell_angle_alpha 90.00
_cell_angle_beta 90.00
_cell_angle_gamma 90.00
_space_group_name_H-M_alt 'P 4/m m m'
_space_group_IT_number 123
_space_group_name_Hall '-P 4 2'
loop_
_atom_site_label
_atom_site_type_symbol
_atom_site_fract_x
_atom_site_fract_y
_atom_site_fract_z
Li1 Li 0.000 0.000 0.000
V1 V 0.000 0.000 0.500
Rh1 Rh 0.500 0.500 0.248

=====

> Among the records above, which one has the highest DOS(E_F)?

LiVRh2

=====

> The highest DOS(E_F) belongs to which entry?

LiVRh2

=====

> Number 1 is which compound?

SbAu